Computed, not measured: a geometry-optimized RbFe2CuO structure at the PBE+U level of DFT.

Values from the calculation:
The space-group type is P4/mmm. As for the crystal system: tetragonal. The value obtained for the density of states at the Fermi level is 0.443 states/eV/atom. For the uncorrected energy, the calculation gives -12.73 eV per cell.

abc: 5.985 5.985 4.332
angles: 90.00 90.00 90.00
Atoms (fractional coordinates):
Rb  0.000  0.000  0.000
Fe  0.000  0.500  0.000
Fe  0.500  0.000  0.000
Cu  0.500  0.500  0.500
O  0.000  0.000  0.500